First-principles (PBE) data for an optimized crystal structure of NpPdPtO6, as listed in Alexandria.

a b c (Å): 5.3066 5.3066 9.4560
angles (deg): 90.00 90.00 120.00
Last column: nearest neighbours and their distance in Å.
Atoms (fractional coordinates):
O 0.3401 0.3469 0.3691  1 Pt 2.05, 1 Np 2.10, 1 Pd 2.20
Pt 0.6667 0.3333 0.7500  6 O 2.05
Np 0.3333 0.6667 0.7500  6 O 2.10
O 0.6531 0.9932 0.3691  1 Pt 2.05, 1 Np 2.10, 1 Pd 2.20
O 0.9932 0.3401 0.6309  1 Pt 2.05, 1 Np 2.10, 1 Pd 2.20
O 0.3469 0.0068 0.6309  1 Pt 2.05, 1 Np 2.10, 1 Pd 2.20
O 0.0068 0.6599 0.3691  1 Pt 2.05, 1 Np 2.10, 1 Pd 2.20
Pd 0.0000 0.0000 0.5000  6 O 2.20
O 0.9932 0.6531 0.8691  1 Pt 2.05, 1 Np 2.10, 1 Pd 2.20
O 0.3469 0.3401 0.8691  1 Pt 2.05, 1 Np 2.10, 1 Pd 2.20
Pd 0.0000 0.0000 0.0000  6 O 2.20
O 0.6599 0.0068 0.8691  1 Pt 2.05, 1 Np 2.10, 1 Pd 2.20
Pt 0.3333 0.6667 0.2500  6 O 2.05
Np 0.6667 0.3333 0.2500  6 O 2.10
O 0.6599 0.6531 0.6309  1 Pt 2.05, 1 Np 2.10, 1 Pd 2.20
O 0.6531 0.6599 0.1309  1 Pt 2.05, 1 Np 2.10, 1 Pd 2.20
O 0.0068 0.3469 0.1309  1 Pt 2.05, 1 Np 2.10, 1 Pd 2.20
O 0.3401 0.9932 0.1309  1 Pt 2.05, 1 Np 2.10, 1 Pd 2.20

Properties
The electronic total energy comes out at -7.341 eV per atom.